Entry from Alexandria: crystalline BaMnClO2 at its relaxed geometry (PBE+U).

abc: 5.601 6.010 7.114
angles: 114.99 90.00 90.00
Site moments in Bohr magnetons follow the coordinates.
Atoms (fractional coordinates):
Ba 0.250 0.626 0.252  0.01
Mn 0.750 0.004 0.008  3.84
O 0.500 0.218 0.000  -0.02
O 0.500 0.782 0.000  -0.02
O 0.000 0.782 0.000  -0.02
Ba 0.750 0.374 0.748  0.01
Cl 0.750 0.765 0.530  0.02
O 0.000 0.218 0.000  -0.02
Mn 0.250 0.996 0.992  3.84
Cl 0.250 0.235 0.470  0.02

Calculated values
**V**: 21.7 A^3/atom
**Electronic total energy**: -6.3861 eV per atom